PmSm2Ga2 (GGA-PBE, optimized geometry); density of states at the Fermi level = 1.105 states/eV per atom; total DFT energy (no corrections) = -4.535 eV per atom; crystal system = tetragonal; SG = P4/mbm; ΔE to the lowest computed polymorph = 0.000 eV/atom; energy of formation from the pure elements = -0.49 eV per atom; calculated density = 7171 kg/m³; total magnetization = 0.00 μB per formula unit
1.0
7.7720 0.0000 0.0000
0.0000 7.7720 0.0000
0.0000 0.0000 4.4865
Pm Sm Ga
2 4 4
Cartesian
0.0000 0.0000 0.0000
3.8860 3.8860 0.0000
1.3533 2.5326 2.2432
2.5326 6.4186 2.2432
5.2393 1.3533 2.2432
6.4186 5.2393 2.2432
0.9160 4.8020 0.0000
2.9700 0.9160 0.0000
4.8020 6.8560 0.0000
6.8560 2.9700 0.0000



HfTaTc2 (GGA-PBE, optimized geometry); density of states at the Fermi level = 0.913 states/eV per atom; total DFT energy (no corrections) = -11.144 eV per atom; crystal system = cubic; SG = Fm-3m; ΔE to the lowest computed polymorph = 0.004 eV/atom; energy of formation from the pure elements = -0.51 eV per atom; calculated density = 13799 kg/m³; total magnetization = 0.00 μB per formula unit
1.0
6.4422 0.0000 0.0000
0.0000 6.4422 0.0000
0.0000 0.0000 6.4422
Hf Ta Tc
4 4 8
Cartesian
0.0000 0.0000 0.0000
0.0000 3.2211 3.2211
3.2211 0.0000 3.2211
3.2211 3.2211 0.0000
0.0000 0.0000 3.2211
0.0000 3.2211 0.0000
3.2211 0.0000 0.0000
3.2211 3.2211 3.2211
1.6105 1.6105 1.6105
1.6105 1.6105 4.8316
1.6105 4.8316 1.6105
1.6105 4.8316 4.8316
4.8316 1.6105 1.6105
4.8316 1.6105 4.8316
4.8316 4.8316 1.6105
4.8316 4.8316 4.8316



NaCd2Pd2 (GGA-PBE, optimized geometry); density of states at the Fermi level = 0.296 states/eV per atom; total DFT energy (no corrections) = -3.046 eV per atom; crystal system = tetragonal; SG = P4/mbm; ΔE to the lowest computed polymorph = 0.000 eV/atom; energy of formation from the pure elements = -0.34 eV per atom; calculated density = 7793 kg/m³; total magnetization = 0.00 μB per formula unit
1.0
8.0200 0.0000 0.0000
0.0000 8.0200 0.0000
0.0000 0.0000 3.0523
Na Cd Pd
2 4 4
Cartesian
0.0000 0.0000 0.0000
4.0100 4.0100 0.0000
1.3276 2.6825 1.5261
2.6825 6.6925 1.5261
5.3376 1.3276 1.5261
6.6925 5.3376 1.5261
1.0413 5.0513 0.0000
2.9687 1.0413 0.0000
5.0513 6.9787 0.0000
6.9787 2.9687 0.0000



Question: Among the records above, which one has the highest ΔE to the lowest computed polymorph?
Answer: HfTaTc2



Question: Which of these has the lowest calculated density?
Answer: PmSm2Ga2